VASP calculation (GGA-PBE) on BaNaPrS3 after structural relaxation.

Cell: 7.286 7.286 10.792 Å, 90.00 90.00 145.32°
Positions (direct):
Ba: 0.245 0.755 0.250
Ba: 0.755 0.245 0.750
Na: 0.976 0.024 0.250
Na: 0.024 0.976 0.750
Pr: 0.500 0.500 0.000
Pr: 0.500 0.500 0.500
S: 0.866 0.134 0.054
S: 0.580 0.420 0.250
S: 0.866 0.134 0.446
S: 0.134 0.866 0.554
S: 0.420 0.580 0.750
S: 0.134 0.866 0.946

Output
Its total energy is -61.78 eV for the cell shown.

VASP calculation (GGA-PBE) on BiPt11 after structural relaxation.

Cell: 2.894 2.894 35.459 Å, 90.00 90.00 90.00°
Positions (direct):
Bi: 0.500 0.500 0.198
Pt: 0.000 0.000 0.259
Pt: 0.500 0.500 0.314
Pt: 0.000 0.000 0.368
Pt: 0.500 0.500 0.421
Pt: 0.000 0.000 0.474
Pt: 0.500 0.500 0.528
Pt: 0.000 0.000 0.581
Pt: 0.500 0.500 0.635
Pt: 0.000 0.000 0.688
Pt: 0.500 0.500 0.741
Pt: 0.000 0.000 0.793

Output
Its total energy is -68.85 eV for the cell shown.

VASP calculation (GGA-PBE) on ZrInNO after structural relaxation.

Cell: 5.388 5.469 7.950 Å, 90.00 90.00 90.00°
Positions (direct):
In: 0.966 0.001 0.137
In: 0.466 0.499 0.137
In: 0.966 0.501 0.863
In: 0.466 0.999 0.863
N: 0.540 0.090 0.127
N: 0.040 0.410 0.127
N: 0.540 0.590 0.873
N: 0.040 0.910 0.873
O: 0.223 0.243 0.475
O: 0.723 0.257 0.475
O: 0.223 0.743 0.525
O: 0.723 0.757 0.525
Zr: 0.973 0.527 0.365
Zr: 0.473 0.973 0.365
Zr: 0.973 0.027 0.635
Zr: 0.473 0.473 0.635

Output
Its total energy is -120.23 eV for the cell shown.

VASP calculation (GGA-PBE) on TbCdInTe3 after structural relaxation.

Cell: 9.905 9.905 9.660 Å, 103.09 103.09 25.61°
Positions (direct):
Cd: 0.530 0.530 0.221
Cd: 0.470 0.470 0.779
In: 0.865 0.865 0.424
In: 0.135 0.135 0.576
Tb: 0.175 0.175 0.089
Tb: 0.825 0.825 0.911
Te: 0.000 0.000 0.000
Te: 0.337 0.337 0.140
Te: 0.682 0.682 0.318
Te: 0.500 0.500 0.500
Te: 0.318 0.318 0.682
Te: 0.663 0.663 0.860

Output
Its total energy is -43.77 eV for the cell shown.

VASP calculation (GGA-PBE) on Pr2Y2CBr5 after structural relaxation.

Cell: 9.255 9.255 8.240 Å, 103.35 103.35 24.09°
Positions (direct):
Br: 0.835 0.835 0.190
Br: 0.160 0.160 0.357
Br: 0.500 0.500 0.500
Br: 0.840 0.840 0.643
Br: 0.165 0.165 0.810
C: 0.500 0.500 0.000
Pr: 0.645 0.645 0.077
Pr: 0.355 0.355 0.923
Y: 0.000 0.000 0.200
Y: 0.000 0.000 0.800

Output
Its total energy is -54.37 eV for the cell shown.

VASP calculation (GGA-PBE) on LaTaBeFe after structural relaxation.

Cell: 4.659 4.659 4.659 Å, 60.00 60.00 60.00°
Positions (direct):
Be: 0.750 0.750 0.750
Fe: 0.250 0.250 0.250
La: 0.500 0.500 0.500
Ta: 0.000 0.000 0.000

Output
Its total energy is -26.80 eV for the cell shown.

VASP calculation (GGA-PBE) on SrFeOs after structural relaxation.

Cell: 4.499 4.499 4.499 Å, 60.00 60.00 60.00°
Positions (direct):
Fe: 0.000 0.000 0.000
Os: 0.250 0.250 0.250
Sr: 0.750 0.750 0.750

Output
Its total energy is -17.71 eV for the cell shown.

VASP calculation (GGA-PBE) on AcSiAg after structural relaxation.

Cell: 4.898 4.898 4.898 Å, 60.00 60.00 60.00°
Positions (direct):
Ac: 0.250 0.250 0.250
Ag: 0.000 0.000 0.000
Si: 0.750 0.750 0.750

Output
Its total energy is -13.01 eV for the cell shown.

VASP calculation (GGA-PBE) on SrTbSi4Ni2 after structural relaxation.

Cell: 3.997 8.647 8.647 Å, 27.52 90.00 90.00°
Positions (direct):
Ni: 0.500 0.177 0.177
Ni: 0.000 0.818 0.818
Si: 0.500 0.043 0.043
Si: 0.000 0.247 0.247
Si: 0.500 0.747 0.747
Si: 0.000 0.963 0.963
Sr: 0.500 0.394 0.394
Tb: 0.000 0.609 0.609

Output
Its total energy is -44.47 eV for the cell shown.

VASP calculation (GGA-PBE) on Zr2InGaAu2 after structural relaxation.

Cell: 11.114 4.537 11.116 Å, 90.00 109.49 90.00°
Positions (direct):
Au: 0.002 0.000 0.007
Au: 0.374 0.500 0.129
Au: 0.745 0.000 0.243
Au: 0.128 0.500 0.373
Au: 0.493 0.000 0.494
Au: 0.875 0.500 0.625
Au: 0.251 0.000 0.745
Au: 0.631 0.500 0.881
Ga: 0.751 0.000 0.001
Ga: 0.126 0.500 0.126
Ga: 0.499 0.000 0.249
Ga: 0.250 0.000 0.499
In: 0.874 0.500 0.374
In: 0.624 0.500 0.625
In: 0.001 0.000 0.751
In: 0.375 0.500 0.875
Zr: 0.251 0.000 0.004
Zr: 0.622 0.500 0.125
Zr: 0.002 0.000 0.251
Zr: 0.372 0.500 0.373
Zr: 0.745 0.000 0.495
Zr: 0.127 0.500 0.621
Zr: 0.503 0.000 0.751
Zr: 0.878 0.500 0.882

Output
Its total energy is -129.44 eV for the cell shown.

VASP calculation (GGA-PBE) on HfAlAsO after structural relaxation.

Cell: 3.600 3.600 9.868 Å, 90.00 90.00 90.00°
Positions (direct):
Al: 0.000 0.000 0.500
Al: 0.500 0.500 0.500
As: 0.500 0.000 0.269
As: 0.000 0.500 0.731
Hf: 0.000 0.500 0.123
Hf: 0.500 0.000 0.877
O: 0.000 0.000 0.000
O: 0.500 0.500 0.000

Output
Its total energy is -57.26 eV for the cell shown.

VASP calculation (GGA-PBE) on NbSiNiPt after structural relaxation.

Cell: 4.350 4.350 4.350 Å, 60.00 60.00 60.00°
Positions (direct):
Nb: 0.500 0.500 0.500
Ni: 0.750 0.750 0.750
Pt: 0.250 0.250 0.250
Si: 0.000 0.000 0.000

Output
Its total energy is -28.24 eV for the cell shown.

VASP calculation (GGA-PBE) on TbBeNi after structural relaxation.

Cell: 4.212 4.212 4.212 Å, 60.00 60.00 60.00°
Positions (direct):
Be: 0.000 0.000 0.000
Ni: 0.250 0.250 0.250
Tb: 0.750 0.750 0.750

Output
Its total energy is -13.37 eV for the cell shown.

VASP calculation (GGA-PBE) on NaInCu after structural relaxation.

Cell: 4.595 4.595 4.595 Å, 60.00 60.00 60.00°
Positions (direct):
Cu: 0.000 0.000 0.000
In: 0.250 0.250 0.250
Na: 0.750 0.750 0.750

Output
Its total energy is -7.32 eV for the cell shown.

VASP calculation (GGA-PBE) on LiHg2Mo after structural relaxation.

Cell: 4.725 4.725 4.725 Å, 60.00 60.00 60.00°
Site moments in Bohr magnetons follow the coordinates.
Positions (direct):
Hg: 0.000 0.000 0.000  0.01
Hg: 0.750 0.750 0.750  -0.04
Li: 0.500 0.500 0.500  0.03
Mo: 0.250 0.250 0.250  2.52

Output
Its total energy is -11.20 eV for the cell shown.

VASP calculation (GGA-PBE) on ZnCuMo4N2 after structural relaxation.

Cell: 2.830 2.830 14.560 Å, 90.00 90.00 120.00°
Positions (direct):
Cu: 0.667 0.333 0.000
Mo: 0.000 0.000 0.152
Mo: 0.667 0.333 0.344
Mo: 0.667 0.333 0.656
Mo: 0.000 0.000 0.848
N: 0.333 0.667 0.249
N: 0.333 0.667 0.751
Zn: 0.000 0.000 0.500

Output
Its total energy is -65.02 eV for the cell shown.

VASP calculation (GGA-PBE) on ThSiOs2C after structural relaxation.

Cell: 3.984 5.965 7.183 Å, 90.00 90.00 70.49°
Positions (direct):
C: 0.500 0.000 0.000
C: 0.500 0.000 0.500
Os: 0.665 0.670 0.056
Os: 0.665 0.670 0.444
Os: 0.335 0.330 0.556
Os: 0.335 0.330 0.944
Si: 0.228 0.545 0.250
Si: 0.772 0.455 0.750
Th: 0.947 0.107 0.250
Th: 0.053 0.893 0.750

Output
Its total energy is -94.27 eV for the cell shown.

VASP calculation (GGA-PBE) on NaLuCdSe3 after structural relaxation.

Cell: 11.664 4.074 13.464 Å, 90.00 90.00 90.00°
Positions (direct):
Cd: 0.237 0.250 0.223
Cd: 0.737 0.250 0.277
Cd: 0.263 0.750 0.723
Cd: 0.763 0.750 0.777
Lu: 0.979 0.750 0.219
Lu: 0.479 0.750 0.281
Lu: 0.521 0.250 0.719
Lu: 0.021 0.250 0.781
Na: 0.659 0.250 0.004
Na: 0.159 0.250 0.496
Na: 0.841 0.750 0.504
Na: 0.341 0.750 0.996
Se: 0.066 0.250 0.102
Se: 0.444 0.250 0.134
Se: 0.757 0.750 0.149
Se: 0.257 0.750 0.351
Se: 0.944 0.250 0.366
Se: 0.566 0.250 0.398
Se: 0.434 0.750 0.602
Se: 0.056 0.750 0.634
Se: 0.743 0.250 0.649
Se: 0.243 0.250 0.851
Se: 0.556 0.750 0.866
Se: 0.934 0.750 0.898

Output
Its total energy is -97.83 eV for the cell shown.

VASP calculation (GGA-PBE) on PrMgNi after structural relaxation.

Cell: 4.748 4.748 4.748 Å, 60.00 60.00 60.00°
Positions (direct):
Mg: 0.000 0.000 0.000
Ni: 0.250 0.250 0.250
Pr: 0.750 0.750 0.750

Output
Its total energy is -10.53 eV for the cell shown.

VASP calculation (GGA-PBE) on CuAgMoPt after structural relaxation.

Cell: 4.430 4.430 4.430 Å, 60.00 60.00 60.00°
Positions (direct):
Ag: 0.000 0.000 0.000
Cu: 0.750 0.750 0.750
Mo: 0.250 0.250 0.250
Pt: 0.500 0.500 0.500

Output
The calculation puts the formation energy at 0.250 eV per atom. Its total energy is -22.45 eV for the cell shown.